(1)
Cs3Te2Pd | PBE | relaxed

The value obtained for the uncorrected formation energy is -678.6 meV/atom. As for the theoretical density: 4.6 g cm⁻³. The crystal system is orthorhombic.

The structure belongs to space group Ibam (No. 72); the cell edges are 9.2792, 15.2885 and 7.7421 Å and the angles 90.00°, 90.00° and 90.00°. The inequivalent atoms are Cs at (0.0000, 0.0000, 0.2500), Cs at (0.1831, 0.3277, 0.0000), Te at (0.1789, 0.4204, 0.5000) and Pd at (0.0000, 0.5000, 0.2500).

(2)
CsTe2Pd | PBE | relaxed

The value obtained for the uncorrected formation energy is -476.0 meV/atom. As for the theoretical density: 5.4 g cm⁻³. The crystal system is tetragonal.

The structure belongs to space group I-42d (No. 122); the cell edges are 8.5616, 8.5616 and 8.2373 Å and the angles 90.00°, 90.00° and 90.00°. The inequivalent atoms are Cs at (0.0000, 0.0000, 0.0000), Te at (0.1299, 0.2500, 0.6250) and Pd at (0.0000, 0.0000, 0.5000).

(3)
CsTePd | PBE | relaxed

The value obtained for the uncorrected formation energy is -635.4 meV/atom. As for the theoretical density: 5.7 g cm⁻³. The crystal system is hexagonal.

The structure belongs to space group P-6m2 (No. 187); the cell edges are 4.5708, 4.5708 and 5.9163 Å and the angles 90.00°, 90.00° and 120.00°. The inequivalent atoms are Cs at (0.0000, 0.0000, 0.0000), Te at (0.6667, 0.3333, 0.5000) and Pd at (0.3333, 0.6667, 0.5000).

(4)
CsTe2Pd | PBE | relaxed

The value obtained for the uncorrected formation energy is -562.4 meV/atom. As for the theoretical density: 5.8 g cm⁻³. The crystal system is orthorhombic.

The structure belongs to space group Cmmm (No. 65); the cell edges are 6.9623, 9.9054 and 4.1137 Å and the angles 90.00°, 90.00° and 90.00°. The inequivalent atoms are Cs at (0.0000, 0.0000, 0.0000), Te at (0.0000, 0.3298, 0.5000) and Pd at (0.0000, 0.5000, 0.0000).

(5)
Cs3Te3Pd2 | PBE | relaxed

The value obtained for the uncorrected formation energy is -629.0 meV/atom. As for the theoretical density: 5.6 g cm⁻³. The crystal system is orthorhombic.

The structure belongs to space group Cmcm (No. 63); the cell edges are 4.9141, 14.1401 and 16.9468 Å and the angles 90.00°, 90.00° and 90.00°. The inequivalent atoms are Cs at (0.0000, 0.0696, 0.1084), Cs at (0.0000, 0.3904, 0.2500), Te at (0.0000, 0.2994, 0.7500), Te at (0.0000, 0.3286, 0.0458) and Pd at (0.0000, 0.2318, 0.5930).

(6)
CsTePd | PBE | relaxed

The value obtained for the uncorrected formation energy is -695.4 meV/atom. As for the theoretical density: 5.5 g cm⁻³. The crystal system is monoclinic.

The structure belongs to space group P2_1/c (No. 14); the cell edges are 7.4535, 7.9968 and 8.5458 Å and the angles 90.00°, 120.13° and 90.00°. The inequivalent atoms are Cs at (0.1699, 0.1117, 0.3722), Te at (0.3345, 0.6657, 0.6043) and Pd at (0.4477, 0.6072, 0.3586).

| no. | calculated volume (Å³/cell) |
| --- | --- |
| 1 | 1098 |
| 2 | 604 |
| 3 | 107 |
| 4 | 284 |
| 5 | 1178 |
| 6 | 441 |